(1)
## Np6As5Se (PBE-GGA)

Data for an optimized crystal structure of Np6As5Se.

a b c (Å): 7.1224 7.1224 7.1231
angles (deg): 99.59 99.59 120.02
Closest atoms and distances in Å follow each position.
Fractional positions:
Np1 0.0809 0.4160 0.7483  5 As 2.90-2.91, 1 Se 2.92
Np2 0.2482 0.2482 0.2506  5 As 2.89-2.91, 1 Se 2.92
Np3 0.4160 0.0809 0.7483  5 As 2.90-2.91, 1 Se 2.92
Np4 0.5840 0.9191 0.2517  5 As 2.90-2.91, 1 Se 2.92
Np5 0.7518 0.7518 0.7494  5 As 2.89-2.91, 1 Se 2.92
Np6 0.9191 0.5840 0.2517  5 As 2.90-2.91, 1 Se 2.92
As1 0.0000 0.0000 0.5000  6 Np 2.89-2.91
As2 0.1670 0.8330 0.0000  6 Np 2.91
As3 0.3346 0.6654 0.5000  6 Np 2.90-2.91
As4 0.6654 0.3346 0.5000  6 Np 2.90-2.91
As5 0.8330 0.1670 0.0000  6 Np 2.91
Se1 0.5000 0.5000 0.0000  6 Np 2.92

Summary:
D(E_F) = 48.2 states/eV/f.u.
energy relative to the elements, uncorrected = -0.760 eV/atom
SG = C2/m, No. 12

(2)
## NpAsSe (PBE-GGA)

Data for an optimized crystal structure of NpAsSe.

a b c (Å): 8.7674 8.7674 8.7674
angles (deg): 153.68 153.68 37.57
Closest atoms and distances in Å follow each position.
Fractional positions:
Np1 0.1348 0.1348 0.0000  5 Se 2.94-3.01, 4 As 3.00
Np2 0.8652 0.8652 0.0000  5 Se 2.94-3.01, 4 As 3.00
As1 0.0000 0.5000 0.5000  4 As 2.82, 4 Np 3.00
As2 0.5000 0.0000 0.5000  4 As 2.82, 4 Np 3.00
Se1 0.3162 0.3162 0.0000  5 Np 2.94-3.01
Se2 0.6838 0.6838 0.0000  5 Np 2.94-3.01

Summary:
D(E_F) = 8.4 states/eV/f.u.
energy relative to the elements, uncorrected = -0.924 eV/atom
SG = I4/mmm, No. 139

(3)
## NpAsSe (PBE-GGA)

Data for an optimized crystal structure of NpAsSe.

a b c (Å): 4.3210 4.3210 10.3296
angles (deg): 90.00 90.00 120.00
Closest atoms and distances in Å follow each position.
Fractional positions:
Np1 0.0000 0.0000 0.1914  3 Se 2.87, 3 As 3.05
Np2 0.0000 0.0000 0.8086  3 Se 2.87, 3 As 3.05
As1 0.3333 0.6667 0.9781  3 As 2.54
As2 0.6667 0.3333 0.0219  3 As 2.54
Se1 0.3333 0.6667 0.3283  3 Np 2.87
Se2 0.6667 0.3333 0.6717  3 Np 2.87

Summary:
D(E_F) = 9.5 states/eV/f.u.
energy relative to the elements, uncorrected = -0.597 eV/atom
SG = P-3m1, No. 164

(4)
## NpAsSe (PBE-GGA)

Data for an optimized crystal structure of NpAsSe.

a b c (Å): 4.1829 4.1829 6.2403
angles (deg): 90.00 90.00 120.00
Closest atoms and distances in Å follow each position.
Fractional positions:
Np1 0.0000 0.0000 0.0000  3 As 2.77, 3 Se 2.80
As1 0.6667 0.3333 0.2177  3 Np 2.77
Se1 0.3333 0.6667 0.7724  3 Np 2.80

Summary:
D(E_F) = 7.4 states/eV/f.u.
energy relative to the elements, uncorrected = -0.405 eV/atom
SG = P3m1, No. 156

(5)
## Np3AsSe6 (PBE-GGA)

Data for an optimized crystal structure of Np3AsSe6.

a b c (Å): 8.8230 8.8230 6.9598
angles (deg): 90.00 90.00 105.62
Closest atoms and distances in Å follow each position.
Fractional positions:
Np1 0.0974 0.9026 0.5000  7 Se 2.82-2.97
Np2 0.2308 0.4389 0.4074  7 Se 2.87-3.04
Np3 0.4389 0.2308 0.9074  7 Se 2.87-3.04
Np4 0.5611 0.7692 0.4074  7 Se 2.87-3.04
Np5 0.7692 0.5611 0.9074  7 Se 2.87-3.04
Np6 0.9026 0.0974 0.0000  7 Se 2.82-2.97
As1 0.3157 0.6843 0.7693  2 Se 2.49
As2 0.6843 0.3157 0.2693  2 Se 2.49
Se1 0.0391 0.5856 0.6548  1 As 2.49
Se2 0.1405 0.2042 0.7107  4 Np 2.88-2.97
Se3 0.2042 0.1405 0.2107  4 Np 2.88-2.97
Se4 0.2550 0.7450 0.2486  3 Np 2.82-2.87
Se5 0.4144 0.9609 0.6548  1 As 2.49
Se6 0.4664 0.5336 0.0819  4 Np 2.88-3.04, 1 As 3.04, 1 Se 3.19
Se7 0.5336 0.4664 0.5819  4 Np 2.88-3.04, 1 As 3.04, 1 Se 3.19
Se8 0.5856 0.0391 0.1548  1 As 2.49
Se9 0.7450 0.2550 0.7486  3 Np 2.82-2.87
Se10 0.7958 0.8595 0.7107  4 Np 2.88-2.97
Se11 0.8595 0.7958 0.2107  4 Np 2.88-2.97
Se12 0.9609 0.4144 0.1548  1 As 2.49

Summary:
D(E_F) = 28.4 states/eV/f.u.
energy relative to the elements, uncorrected = -0.849 eV/atom
SG = Cmc2_1, No. 36

(6)
## Np5As4Se (PBE-GGA)

Data for an optimized crystal structure of Np5As4Se.

a b c (Å): 10.9049 10.9049 10.9049
angles (deg): 158.43 149.17 37.94
Closest atoms and distances in Å follow each position.
Fractional positions:
Np1 0.0000 0.0000 0.0000  2 Se 2.90, 4 As 2.90
Np2 0.2009 0.2009 0.0000  6 As 2.90-2.91
Np3 0.3997 0.3997 0.0000  4 As 2.89-2.90, 2 Se 2.90
Np4 0.6003 0.6003 0.0000  4 As 2.89-2.90, 2 Se 2.90
Np5 0.7991 0.7991 0.0000  6 As 2.90-2.91
As1 0.1000 0.6000 0.5000  6 Np 2.90-2.91
As2 0.3005 0.8005 0.5000  6 Np 2.89-2.90
As3 0.6995 0.1995 0.5000  6 Np 2.89-2.90
As4 0.9000 0.4000 0.5000  6 Np 2.90-2.91
Se1 0.5000 0.0000 0.5000  6 Np 2.90

Summary:
D(E_F) = 45.4 states/eV/f.u.
energy relative to the elements, uncorrected = -0.744 eV/atom
SG = Immm, No. 71

(7)
## Np4As3Se (PBE-GGA)

Data for an optimized crystal structure of Np4As3Se.

a b c (Å): 5.8176 5.8176 5.8176
angles (deg): 90.00 90.00 90.00
Closest atoms and distances in Å follow each position.
Fractional positions:
Np1 0.0000 0.0000 0.0000  6 As 2.91
Np2 0.0000 0.5000 0.5000  4 As 2.91, 2 Se 2.91
Np3 0.5000 0.0000 0.5000  4 As 2.91, 2 Se 2.91
Np4 0.5000 0.5000 0.0000  4 As 2.91, 2 Se 2.91
As1 0.0000 0.0000 0.5000  6 Np 2.91
As2 0.0000 0.5000 0.0000  6 Np 2.91
As3 0.5000 0.0000 0.0000  6 Np 2.91
Se1 0.5000 0.5000 0.5000  6 Np 2.91

Summary:
D(E_F) = 32.4 states/eV/f.u.
energy relative to the elements, uncorrected = -0.794 eV/atom
SG = Pm-3m, No. 221

(8)
## Np2AsSe2 (PBE-GGA)

Data for an optimized crystal structure of Np2AsSe2.

a b c (Å): 10.2445 10.2445 10.2445
angles (deg): 23.24 23.24 23.24
Closest atoms and distances in Å follow each position.
Fractional positions:
Np1 0.1093 0.1093 0.1093  3 Se 2.80, 3 As 2.94
Np2 0.8907 0.8907 0.8907  3 Se 2.80, 3 As 2.94
As1 0.5000 0.5000 0.5000  6 Np 2.94
Se1 0.2734 0.2734 0.2734  3 Np 2.80
Se2 0.7266 0.7266 0.7266  3 Np 2.80

Summary:
D(E_F) = 19.3 states/eV/f.u.
energy relative to the elements, uncorrected = -0.897 eV/atom
SG = R-3m, No. 166